# 1
Li8SiSb2 | GGA-PBE | relaxed

Geometry as POSCAR:
```
Li8SiSb2
1.0
-0.673 -0.227 4.547
-5.089 -5.436 -1.024
6.965 -1.038 -1.349
Li Si Sb
8 1 2
direct
0.353 0.562 0.706
0.650 0.858 0.299
0.858 0.853 0.717
0.998 0.281 0.996
0.142 0.147 0.283
0.350 0.142 0.701
0.647 0.438 0.294
0.002 0.719 0.004
0.500 0.000 0.000
0.799 0.301 0.598
0.201 0.699 0.402
```

formation energy (no corrections) = -436 meV/atom
mass density = 2.8 g cm⁻³
D(E_F) = 0.09 states/eV/atom



# 2
SmEr2HgN | GGA-PBE | relaxed

Geometry as POSCAR:
```
SmEr2HgN
1.0
-0.441 3.521 -3.424
-4.195 1.271 1.847
2.201 3.077 2.882
Sm Er Hg N
1 2 1 1
direct
0.500 0.000 0.000
0.000 0.000 0.500
0.000 0.500 0.000
0.500 0.500 0.500
0.000 0.000 0.000
```

formation energy (no corrections) = -901 meV/atom
mass density = 10.4 g cm⁻³
D(E_F) = 0.66 states/eV/atom



# 3
PrTmGaPt | GGA-PBE | relaxed

Geometry as POSCAR:
```
PrTmGaPt
1.0
-1.434 -2.327 2.725
1.225 -3.456 -2.306
5.778 1.174 1.310
Pr Tm Ga Pt
1 1 1 1
direct
0.150 0.000 0.301
0.864 0.500 0.728
0.567 0.500 0.134
0.419 0.000 0.838
```

mass density = 10.0 g cm⁻³
energy above the most stable polymorph in this dataset = 0 meV/atom
D(E_F) = 0.85 states/eV/atom



# 4
KLa2OsRu | GGA-PBE | relaxed

Geometry as POSCAR:
```
KLa2OsRu
1.0
5.309 0.000 0.000
0.000 5.174 0.000
0.000 0.000 5.309
Ru K Os La
1 1 1 2
direct
0.000 0.000 0.000
0.000 0.500 0.000
0.500 0.500 0.500
0.000 0.000 0.500
0.500 0.000 0.000
```

mass density = 6.9 g cm⁻³
total energy = -5.25 eV/atom
D(E_F) = 2.41 states/eV/atom



What is the mass density in the first record?
2.8 g cm⁻³



Which of these has the highest mass density?
SmEr2HgN